Here is a geometry-optimized BaCo2ClO structure from Alexandria. Energies are from PBE with a Hubbard U.

```
BaCo2ClO
1.0
4.052 0.000 0.000
0.000 4.052 0.000
0.000 0.000 7.547
Ba Co Cl O
1 2 1 1
Cartesian
0.000 0.000 0.000
0.000 2.026 3.773
2.026 0.000 3.773
2.026 2.026 3.773
2.026 2.026 0.000
```

Crystal system ... tetragonal
Uncorrected energy ... -3.892 eV per atom
Fermi-level density of states ... 2.50 states/eV/cell